Compound: Ce4Tl3Sb
Source: Alexandria via LeMat-Bulk
Functional: PBE
Structure: optimized geometry

```
Ce4Tl3Sb
1.0
7.493 -2.844 0.000
7.493 2.844 0.000
-1.626 0.000 5.225
Ce Tl Sb
4 3 1
direct
0.121 0.121 0.097 Ce
0.239 0.239 0.798 Ce
0.761 0.761 0.202 Ce
0.879 0.879 0.903 Ce
0.366 0.366 0.394 Tl
0.500 0.500 0.000 Tl
0.634 0.634 0.606 Tl
0.000 0.000 0.500 Sb
```

Values from the calculation:
DFT total energy: -4.57 eV/atom
Symmetry: No. 12

Compound: MnCuRu2
Source: Alexandria via LeMat-Bulk
Functional: PBE
Structure: optimized geometry

```
MnCuRu2
1.0
4.420 -1.367 0.000
4.420 1.367 0.000
-0.849 0.000 4.426
Mn Cu Ru
1 1 2
direct
0.000 0.000 0.000 Mn
0.749 0.749 0.220 Cu
0.248 0.248 0.716 Ru
0.500 0.500 0.497 Ru
```

Values from the calculation:
Calculated formation energy: 167 meV per atom
Symmetry: No. 8

Compound: Nd2Dy7Er3
Source: Alexandria via LeMat-Bulk
Functional: PBE
Structure: optimized geometry

```
Nd2Dy7Er3
1.0
6.327 0.000 0.000
0.000 3.512 0.000
-1.864 0.000 17.314
Nd Dy Er
2 7 3
direct
0.060 0.000 0.173 Nd
0.940 0.000 0.827 Nd
0.000 0.500 0.500 Dy
0.228 0.000 0.667 Dy
0.257 0.000 0.999 Dy
0.275 0.500 0.337 Dy
0.725 0.500 0.663 Dy
0.743 0.000 0.001 Dy
0.772 0.000 0.333 Dy
0.452 0.500 0.843 Er
0.500 0.000 0.500 Er
0.548 0.500 0.157 Er
```

Values from the calculation:
Calculated formation energy: 76 meV per atom
Excess energy over the best structure of this formula in the dataset: 0 meV per atom
Symmetry: No. 10

Compound: Ba6RhBr
Source: Alexandria via LeMat-Bulk
Functional: PBE
Structure: optimized geometry

```
Ba6RhBr
1.0
4.095 -6.858 0.000
4.095 6.858 0.000
-2.584 0.000 7.697
Ba Rh Br
6 1 1
direct
0.062 0.383 0.236 Ba
0.239 0.239 0.774 Ba
0.383 0.062 0.236 Ba
0.617 0.938 0.764 Ba
0.761 0.761 0.226 Ba
0.938 0.617 0.764 Ba
0.000 0.000 0.000 Rh
0.500 0.500 0.500 Br
```

Values from the calculation:
DFT total energy: -3.05 eV/atom
Symmetry: No. 12